Mo3IrO (GGA+U, relaxed); DOS(E_F) = 0.93 states/eV/atom; SG = No. 221; DFT total energy = -0.1840 Ha/atom; energy above the lowest structure with this stoichiometry = 7.41 eV/f.u.
1.0
5.064 0.000 0.000
0.000 5.064 0.000
0.000 0.000 5.064
Mo Ir O
3 1 1
Cartesian
0.000 0.000 2.532
0.000 2.532 0.000
2.532 0.000 0.000
0.000 0.000 0.000
2.532 2.532 2.532